<one>
{
  "formula": "HoNbC2",
  "functional": "GGA-PBE",
  "state": "optimized geometry",
  "cell": [[5.735, 0.000, 0.000], [0.000, 3.486, 0.000], [0.000, 0.000, 11.116]],
  "species": ["Ho", "Ho", "Ho", "Ho", "Nb", "Nb", "Nb", "Nb", "C", "C", "C", "C", "C", "C", "C", "C"],
  "fractional_positions": [[0.085, 0.250, 0.140], [0.415, 0.750, 0.640], [0.585, 0.250, 0.360], [0.915, 0.750, 0.860], [0.095, 0.750, 0.394], [0.405, 0.250, 0.894], [0.595, 0.750, 0.106], [0.905, 0.250, 0.606], [0.149, 0.250, 0.752], [0.228, 0.250, 0.485], [0.272, 0.750, 0.985], [0.351, 0.750, 0.252], [0.649, 0.250, 0.748], [0.728, 0.250, 0.015], [0.772, 0.750, 0.515], [0.851, 0.750, 0.248]],
  "magnetic_moment_mub_per_fu": 0.00,
  "density_g_cm3": 8.42,
  "dos_ef_per_ev_fu": 0.77
}



<two>
{
  "formula": "HoNbC2",
  "functional": "GGA-PBE",
  "state": "optimized geometry",
  "cell": [[1.654, 0.955, 5.575], [-1.654, 0.955, 5.575], [0.000, -1.910, 5.575]],
  "species": ["Ho", "Nb", "C", "C"],
  "fractional_positions": [[0.000, 0.000, 0.000], [0.500, 0.500, 0.500], [0.240, 0.240, 0.240], [0.760, 0.760, 0.760]],
  "magnetic_moment_mub_per_fu": 0.00,
  "density_g_cm3": 8.86,
  "dos_ef_per_ev_fu": 0.73
}



Stability, lowest: <one>



<one>
{
  "formula": "NdHoC",
  "functional": "GGA-PBE",
  "state": "optimized geometry",
  "cell": [[5.031, 0.000, 0.000], [0.000, 5.031, 0.000], [0.000, 0.000, 5.349]],
  "species": ["Nd", "Nd", "Ho", "Ho", "C", "C"],
  "fractional_positions": [[0.250, 0.250, 0.012], [0.750, 0.750, 0.988], [0.250, 0.750, 0.500], [0.750, 0.250, 0.500], [0.250, 0.250, 0.560], [0.750, 0.750, 0.440]],
  "magnetic_moment_mub_per_fu": 0.00,
  "density_g_cm3": 7.88,
  "dos_ef_per_ev_fu": 1.77
}



<two>
{
  "formula": "NdHoC",
  "functional": "GGA-PBE",
  "state": "optimized geometry",
  "cell": [[3.612, 0.000, 0.000], [-1.806, 3.128, 0.000], [0.000, 0.000, 6.474]],
  "species": ["Nd", "Ho", "C"],
  "fractional_positions": [[0.000, 0.000, 0.000], [0.333, 0.667, 0.427], [0.667, 0.333, 0.231]],
  "magnetic_moment_mub_per_fu": 0.00,
  "density_g_cm3": 7.29,
  "dos_ef_per_ev_fu": 2.43
}



Stability, lowest: <one>